No. 1
The following is a PBE calculation of MoP2 after structural relaxation, from the Alexandria database.

Calculated values
SG: P-3m1 (164)
Final energy, eV/f.u.: -22.458

Cell: 3.104 3.104 5.211 Å, 90.00 90.00 120.00°
Element x y z (fractional)
Mo: 0.000 0.000 0.000
P: 0.333 0.667 0.327
P: 0.667 0.333 0.673

No. 2
The following is a PBE calculation of Sn3WS after structural relaxation, from the Alexandria database.

Calculated values
SG: Pm-3m (221)
Energy relative to the elements, uncorrected, eV/atom: 0.60
Final energy, eV/f.u.: -26.111
Polymorph energy (0 for the lowest one), eV per formula unit: 0.00

Cell: 5.270 5.270 5.270 Å, 90.00 90.00 90.00°
Element x y z (fractional)
Sn: 0.000 0.000 0.500
Sn: 0.000 0.500 0.000
Sn: 0.500 0.000 0.000
W: 0.000 0.000 0.000
S: 0.500 0.500 0.500

No. 3
The following is a PBE calculation of Nb4Ir4Ru5 after structural relaxation, from the Alexandria database.

Calculated values
SG: I4/m (87)
Final energy, eV/f.u.: -126.281

Cell: 7.394 7.394 7.394 Å, 94.04 94.04 149.23°
Element x y z (fractional)
Nb: 0.140 0.777 0.917
Nb: 0.223 0.140 0.363
Nb: 0.777 0.860 0.637
Nb: 0.860 0.223 0.083
Ir: 0.080 0.388 0.468
Ir: 0.388 0.920 0.308
Ir: 0.612 0.080 0.692
Ir: 0.920 0.612 0.532
Ru: 0.000 0.000 0.000
Ru: 0.308 0.535 0.843
Ru: 0.465 0.308 0.773
Ru: 0.535 0.692 0.227
Ru: 0.692 0.465 0.157

No. 4
The following is a PBE calculation of NdYPtAu after structural relaxation, from the Alexandria database.

Calculated values
SG: F-43m (216)
Final energy, eV/f.u.: -24.369
Polymorph energy (0 for the lowest one), eV per formula unit: 0.24

Cell: 5.107 5.107 5.107 Å, 60.00 60.00 60.00°
Element x y z (fractional)
Nd: 0.000 0.000 0.000
Y: 0.500 0.500 0.500
Pt: 0.250 0.250 0.250
Au: 0.750 0.750 0.750

No. 5
The following is a PBE calculation of DyTh2Pt after structural relaxation, from the Alexandria database.

Calculated values
SG: R-3m (166)
Final energy, eV/f.u.: -26.055
Polymorph energy (0 for the lowest one), eV per formula unit: 1.28

Cell: 10.728 10.728 10.728 Å, 20.05 20.05 20.05°
Element x y z (fractional)
Dy: 0.000 0.000 0.000
Th: 0.105 0.105 0.105
Th: 0.895 0.895 0.895
Pt: 0.500 0.500 0.500

No. 6
The following is a PBE calculation of K2RbGa2As2 after structural relaxation, from the Alexandria database.

Calculated values
SG: C2/m (12)
Final energy, eV/f.u.: -21.288

Cell: 6.776 6.776 9.871 Å, 100.08 100.08 35.48°
Element x y z (fractional)
K: 0.192 0.192 0.157
K: 0.808 0.808 0.843
Rb: 0.500 0.500 0.500
Ga: 0.469 0.469 0.111
Ga: 0.531 0.531 0.889
As: 0.091 0.091 0.786
As: 0.909 0.909 0.214